No. 1
# CaZnAsHO5 (SCAN, PBEsol geometry)
# VASP energy = -95.69 eV/f.u.
# ρ = 4.34 g cm⁻³
# volume = 11.12 A^3/atom
data_CaZnAsHO5
_chemical_formula_sum 'Ca4 Zn4 As4 H4 O20'
_cell_length_a 5.933
_cell_length_b 7.461
_cell_length_c 9.040
_cell_angle_alpha 90.00
_cell_angle_beta 90.00
_cell_angle_gamma 90.00
_space_group_name_H-M_alt 'P 21 21 21'
_space_group_IT_number 19
_space_group_name_Hall 'P 2ac 2ab'
loop_
_atom_site_label
_atom_site_fract_x
_atom_site_fract_y
_atom_site_fract_z
_atom_site_occupancy
Ca1 0.024 0.129 0.175 1
Zn1 0.243 0.264 0.506 1
As1 0.017 0.627 0.675 1
H1 0.023 0.989 0.483 1
O1 0.008 0.106 0.429 1
O2 0.011 0.949 0.946 1
O3 0.094 0.798 0.559 1
O4 0.234 0.155 0.733 1
O5 0.246 0.607 0.789 1


No. 2
# Rb2TcAg (SCAN, PBEsol geometry)
# VASP energy = -102.87 eV/f.u.
# ρ = 4.55 g cm⁻³
# volume = 34.37 A^3/atom
data_Rb2TcAg
_chemical_formula_sum 'Rb8 Tc4 Ag4'
_cell_length_a 8.193
_cell_length_b 8.193
_cell_length_c 8.193
_cell_angle_alpha 90.00
_cell_angle_beta 90.00
_cell_angle_gamma 90.00
_space_group_name_H-M_alt 'F m -3 m'
_space_group_IT_number 225
_space_group_name_Hall '-F 4 2 3'
loop_
_atom_site_label
_atom_site_fract_x
_atom_site_fract_y
_atom_site_fract_z
_atom_site_occupancy
Rb1 0.250 0.250 0.250 1
Tc1 0.000 0.000 0.000 1
Ag1 0.000 0.000 0.500 1


No. 3
# Ca2TlCr (SCAN, PBEsol geometry)
# VASP energy = -110.63 eV/f.u.
# ρ = 5.35 g cm⁻³
# volume = 26.13 A^3/atom
# offset from the most stable computed form = 0 meV per atom
data_Ca2TlCr
_chemical_formula_sum 'Ca4 Tl2 Cr2'
_cell_length_a 7.416
_cell_length_b 7.431
_cell_length_c 3.793
_cell_angle_alpha 90.00
_cell_angle_beta 90.00
_cell_angle_gamma 90.00
_space_group_name_H-M_alt 'C m m m'
_space_group_IT_number 65
_space_group_name_Hall '-C 2 2'
loop_
_atom_site_label
_atom_site_fract_x
_atom_site_fract_y
_atom_site_fract_z
_atom_site_occupancy
Ca1 0.250 0.250 0.000 1
Tl1 0.000 0.000 0.500 1
Cr1 0.000 0.500 0.500 1


No. 4
# MnRe3 (SCAN, PBEsol geometry)
# VASP energy = -231.23 eV/f.u.
# ρ = 18.67 g cm⁻³
# volume = 13.64 A^3/atom
data_MnRe3
_chemical_formula_sum 'Mn2 Re6'
_cell_length_a 4.352
_cell_length_b 5.383
_cell_length_c 4.658
_cell_angle_alpha 90.00
_cell_angle_beta 90.00
_cell_angle_gamma 90.00
_space_group_name_H-M_alt 'P m m n'
_space_group_IT_number 59
loop_
_space_group_symop_operation_xyz
'x,y,z'
'-x,-y,-z'
'-x+1/2,-y+1/2,z'
'x+1/2,y+1/2,-z'
'x+1/2,-y,-z'
'-x+1/2,y,z'
'-x,y+1/2,-z'
'x,-y+1/2,z'
loop_
_atom_site_label
_atom_site_fract_x
_atom_site_fract_y
_atom_site_fract_z
_atom_site_occupancy
Mn1 0.250 0.250 0.172 1
Re1 0.250 0.001 0.669 1
Re2 0.250 0.750 0.159 1


No. 5
# Pr5Ru2O12 (SCAN, PBEsol geometry)
# VASP energy = -416.15 eV/f.u.
# ρ = 6.60 g cm⁻³
# volume = 14.54 A^3/atom
data_Pr5Ru2O12
_chemical_formula_sum 'Pr10 Ru4 O24'
_cell_length_a 12.758
_cell_length_b 5.935
_cell_length_c 7.650
_cell_angle_alpha 90.00
_cell_angle_beta 107.45
_cell_angle_gamma 90.00
_space_group_name_H-M_alt 'C 1 2/m 1'
_space_group_IT_number 12
_space_group_name_Hall '-C 2y'
loop_
_atom_site_label
_atom_site_fract_x
_atom_site_fract_y
_atom_site_fract_z
_atom_site_occupancy
Pr1 0.000 0.000 0.000 1
Pr2 0.191 0.500 0.333 1
Pr3 0.193 0.500 0.857 1
Ru1 0.000 0.235 0.500 1
O1 0.000 0.500 0.331 1
O2 0.001 0.000 0.685 1
O3 0.155 0.251 0.078 1
O4 0.158 0.254 0.578 1


No. 6
# ScZnIO2 (SCAN, PBEsol geometry)
# VASP energy = -79.87 eV/f.u.
# ρ = 5.49 g cm⁻³
# volume = 16.29 A^3/atom
data_ScZnIO2
_chemical_formula_sum 'Sc1 Zn1 I1 O2'
_cell_length_a 4.010
_cell_length_b 4.010
_cell_length_c 5.065
_cell_angle_alpha 90.00
_cell_angle_beta 90.00
_cell_angle_gamma 90.00
_space_group_name_H-M_alt 'P 4/m m m'
_space_group_IT_number 123
_space_group_name_Hall '-P 4 2'
loop_
_atom_site_label
_atom_site_fract_x
_atom_site_fract_y
_atom_site_fract_z
_atom_site_occupancy
Sc1 0.000 0.000 0.000 1
Zn1 0.500 0.500 0.500 1
I1 0.500 0.500 0.000 1
O1 0.000 0.500 0.500 1